# 1
VASP calculation (PBE) on a relaxed BaTl2FeSe crystal.

Cell and atoms, written as CIF:
```
data_BaTl2FeSe
_cell_length_a 5.0467
_cell_length_b 5.0467
_cell_length_c 5.4225
_cell_angle_alpha 90.00
_cell_angle_beta 90.00
_cell_angle_gamma 90.00
_symmetry_space_group_name_H-M 'P 4/m m m'
_symmetry_Int_Tables_number 123
_symmetry_space_group_name_Hall '-P 4 2'
loop_
_atom_site_label
_atom_site_type_symbol
_atom_site_fract_x
_atom_site_fract_y
_atom_site_fract_z
Ba1 Ba 0.0000 0.0000 0.0000
Tl1 Tl 0.0000 0.5000 0.5000
Fe1 Fe 0.5000 0.5000 0.5000
Se1 Se 0.5000 0.5000 0.0000
```

Computed properties:
The size of the total moment comes out at 0.00 μB per atom. The calculation puts the uncorrected formation energy at -0.1304 eV/atom. The value obtained for the total DFT energy (no corrections) is -19.25 eV/cell.

---

# 2
VASP calculation (PBE) on a relaxed Ba2UFeSe6 crystal.

Cell and atoms, written as CIF:
```
data_Ba2UFeSe6
_cell_length_a 10.2207
_cell_length_b 10.2207
_cell_length_c 10.2207
_cell_angle_alpha 90.00
_cell_angle_beta 90.00
_cell_angle_gamma 90.00
_symmetry_space_group_name_H-M 'F m -3 m'
_symmetry_Int_Tables_number 225
_symmetry_space_group_name_Hall '-F 4 2 3'
loop_
_atom_site_label
_atom_site_type_symbol
_atom_site_fract_x
_atom_site_fract_y
_atom_site_fract_z
Ba1 Ba 0.2500 0.2500 0.2500
U1 U 0.0000 0.0000 0.0000
Fe1 Fe 0.0000 0.0000 0.5000
Se1 Se 0.0000 0.0000 0.2638
```

Computed properties:
The size of the total moment comes out at 0.01 μB per atom. The calculation puts the uncorrected formation energy at -1.1886 eV/atom. The value obtained for the total DFT energy (no corrections) is -225.56 eV/cell.

---

# 3
VASP calculation (PBE) on a relaxed BaUFeSe4 crystal.

Cell and atoms, written as CIF:
```
data_BaUFeSe4
_cell_length_a 6.7093
_cell_length_b 6.4696
_cell_length_c 8.9706
_cell_angle_alpha 90.00
_cell_angle_beta 108.39
_cell_angle_gamma 90.00
_symmetry_space_group_name_H-M 'P 1 21/m 1'
_symmetry_Int_Tables_number 11
_symmetry_space_group_name_Hall '-P 2yb'
loop_
_atom_site_label
_atom_site_type_symbol
_atom_site_fract_x
_atom_site_fract_y
_atom_site_fract_z
Ba1 Ba 0.2460 0.2500 0.0576
U1 U 0.2471 0.2500 0.5551
Fe1 Fe 0.2427 0.7500 0.3277
Se1 Se 0.0179 0.5104 0.7150
Se2 Se 0.4251 0.7500 0.1408
Se3 Se 0.4380 0.7500 0.5951
```

Computed properties:
The size of the total moment comes out at 0.74 μB per atom. The calculation puts the uncorrected formation energy at -1.0780 eV/atom. The value obtained for the total DFT energy (no corrections) is -86.31 eV/cell.

---

# 4
VASP calculation (PBE) on a relaxed Ba3UFeSe6 crystal.

Cell and atoms, written as CIF:
```
data_Ba3UFeSe6
_cell_length_a 12.6718
_cell_length_b 12.6718
_cell_length_c 13.8985
_cell_angle_alpha 90.00
_cell_angle_beta 90.00
_cell_angle_gamma 120.00
_symmetry_space_group_name_H-M 'R -3 c'
_symmetry_Int_Tables_number 167
_symmetry_space_group_name_Hall '-R 3 2"c'
loop_
_atom_site_label
_atom_site_type_symbol
_atom_site_fract_x
_atom_site_fract_y
_atom_site_fract_z
Ba1 Ba 0.0000 0.3831 0.2500
U1 U 0.0000 0.0000 0.2500
Fe1 Fe 0.0000 0.0000 0.0000
Se1 Se 0.0296 0.1817 0.3839
```

Computed properties:
The size of the total moment comes out at 0.18 μB per atom. The calculation puts the uncorrected formation energy at -1.4685 eV/atom. The value obtained for the total DFT energy (no corrections) is -375.48 eV/cell.

---

# 5
VASP calculation (PBE) on a relaxed Ba2ZnFeSe crystal.

Cell and atoms, written as CIF:
```
data_Ba2ZnFeSe
_cell_length_a 5.7482
_cell_length_b 5.7482
_cell_length_c 4.6173
_cell_angle_alpha 90.00
_cell_angle_beta 90.00
_cell_angle_gamma 90.00
_symmetry_space_group_name_H-M 'P 4/m m m'
_symmetry_Int_Tables_number 123
_symmetry_space_group_name_Hall '-P 4 2'
loop_
_atom_site_label
_atom_site_type_symbol
_atom_site_fract_x
_atom_site_fract_y
_atom_site_fract_z
Ba1 Ba 0.0000 0.5000 0.0000
Zn1 Zn 0.0000 0.0000 0.5000
Fe1 Fe 0.0000 0.0000 0.0000
Se1 Se 0.5000 0.5000 0.5000
```

Computed properties:
The size of the total moment comes out at 0.26 μB per atom. The calculation puts the uncorrected formation energy at -0.2729 eV/atom. The value obtained for the total DFT energy (no corrections) is -18.43 eV/cell.

---

# 6
VASP calculation (PBE) on a relaxed BaFe4Si crystal.

Cell and atoms, written as CIF:
```
data_BaFe4Si
_cell_length_a 7.3085
_cell_length_b 7.3085
_cell_length_c 7.3085
_cell_angle_alpha 90.00
_cell_angle_beta 90.00
_cell_angle_gamma 90.00
_symmetry_space_group_name_H-M 'F -4 3 m'
_symmetry_Int_Tables_number 216
_symmetry_space_group_name_Hall 'F -4 2 3'
loop_
_atom_site_label
_atom_site_type_symbol
_atom_site_fract_x
_atom_site_fract_y
_atom_site_fract_z
Ba1 Ba 0.0000 0.0000 0.0000
Fe1 Fe 0.1224 0.1224 0.6224
Si1 Si 0.2500 0.2500 0.2500
```

Computed properties:
The size of the total moment comes out at 1.65 μB per atom. The calculation puts the uncorrected formation energy at 0.5660 eV/atom. The value obtained for the total DFT energy (no corrections) is -151.20 eV/cell.

---

# 7
VASP calculation (PBE) on a relaxed Ba3FeSi crystal.

Cell and atoms, written as CIF:
```
data_Ba3FeSi
_cell_length_a 5.7102
_cell_length_b 5.7102
_cell_length_c 5.7102
_cell_angle_alpha 90.00
_cell_angle_beta 90.00
_cell_angle_gamma 90.00
_symmetry_space_group_name_H-M 'P m -3 m'
_symmetry_Int_Tables_number 221
_symmetry_space_group_name_Hall '-P 4 2 3'
loop_
_atom_site_label
_atom_site_type_symbol
_atom_site_fract_x
_atom_site_fract_y
_atom_site_fract_z
Ba1 Ba 0.0000 0.0000 0.5000
Fe1 Fe 0.0000 0.0000 0.0000
Si1 Si 0.5000 0.5000 0.5000
```

Computed properties:
The size of the total moment comes out at 0.41 μB per atom. The calculation puts the uncorrected formation energy at 0.4980 eV/atom. The value obtained for the total DFT energy (no corrections) is -17.16 eV/cell. As for the energy above the most stable polymorph in this dataset: 0.000 eV/f.u.

---

# 8
VASP calculation (PBE) on a relaxed BaFe3Si crystal.

Cell and atoms, written as CIF:
```
data_BaFe3Si
_cell_length_a 4.6355
_cell_length_b 4.6355
_cell_length_c 4.6355
_cell_angle_alpha 90.00
_cell_angle_beta 90.00
_cell_angle_gamma 90.00
_symmetry_space_group_name_H-M 'P m -3 m'
_symmetry_Int_Tables_number 221
_symmetry_space_group_name_Hall '-P 4 2 3'
loop_
_atom_site_label
_atom_site_type_symbol
_atom_site_fract_x
_atom_site_fract_y
_atom_site_fract_z
Ba1 Ba 0.0000 0.0000 0.0000
Fe1 Fe 0.0000 0.5000 0.5000
Si1 Si 0.5000 0.5000 0.5000
```

Computed properties:
The size of the total moment comes out at 1.54 μB per atom. The calculation puts the uncorrected formation energy at 0.5439 eV/atom. The value obtained for the total DFT energy (no corrections) is -30.01 eV/cell. As for the energy above the most stable polymorph in this dataset: 0.000 eV/f.u.

---

# 9
VASP calculation (PBE) on a relaxed BaFe3Si crystal.

Cell and atoms, written as CIF:
```
data_BaFe3Si
_cell_length_a 4.9196
_cell_length_b 4.9196
_cell_length_c 4.9196
_cell_angle_alpha 90.00
_cell_angle_beta 90.00
_cell_angle_gamma 90.00
_symmetry_space_group_name_H-M 'P m -3 m'
_symmetry_Int_Tables_number 221
_symmetry_space_group_name_Hall '-P 4 2 3'
loop_
_atom_site_label
_atom_site_type_symbol
_atom_site_fract_x
_atom_site_fract_y
_atom_site_fract_z
Ba1 Ba 0.0000 0.0000 0.0000
Fe1 Fe 0.0000 0.0000 0.5000
Si1 Si 0.5000 0.5000 0.5000
```

Computed properties:
The size of the total moment comes out at 1.51 μB per atom. The calculation puts the uncorrected formation energy at 2.4791 eV/atom. The value obtained for the total DFT energy (no corrections) is -20.34 eV/cell. As for the energy above the most stable polymorph in this dataset: 9.676 eV/f.u.

---

# 10
VASP calculation (PBE) on a relaxed BaVFe2Si crystal.

Cell and atoms, written as CIF:
```
data_BaVFe2Si
_cell_length_a 4.5037
_cell_length_b 4.5037
_cell_length_c 4.7997
_cell_angle_alpha 90.00
_cell_angle_beta 90.00
_cell_angle_gamma 90.00
_symmetry_space_group_name_H-M 'P 4/m m m'
_symmetry_Int_Tables_number 123
_symmetry_space_group_name_Hall '-P 4 2'
loop_
_atom_site_label
_atom_site_type_symbol
_atom_site_fract_x
_atom_site_fract_y
_atom_site_fract_z
Ba1 Ba 0.0000 0.0000 0.0000
V1 V 0.5000 0.5000 0.5000
Fe1 Fe 0.0000 0.5000 0.5000
Si1 Si 0.5000 0.5000 0.0000
```

Computed properties:
The size of the total moment comes out at 0.00 μB per atom. The calculation puts the uncorrected formation energy at 0.8087 eV/atom. The value obtained for the total DFT energy (no corrections) is -29.35 eV/cell.

---

# 11
VASP calculation (PBE) on a relaxed BaZn2FeSi crystal.

Cell and atoms, written as CIF:
```
data_BaZn2FeSi
_cell_length_a 4.8333
_cell_length_b 4.8333
_cell_length_c 4.4343
_cell_angle_alpha 90.00
_cell_angle_beta 90.00
_cell_angle_gamma 90.00
_symmetry_space_group_name_H-M 'P 4/m m m'
_symmetry_Int_Tables_number 123
_symmetry_space_group_name_Hall '-P 4 2'
loop_
_atom_site_label
_atom_site_type_symbol
_atom_site_fract_x
_atom_site_fract_y
_atom_site_fract_z
Ba1 Ba 0.0000 0.0000 0.0000
Zn1 Zn 0.0000 0.5000 0.5000
Fe1 Fe 0.5000 0.5000 0.5000
Si1 Si 0.5000 0.5000 0.0000
```

Computed properties:
The size of the total moment comes out at 0.00 μB per atom. The calculation puts the uncorrected formation energy at -0.1730 eV/atom. The value obtained for the total DFT energy (no corrections) is -19.22 eV/cell.

---

# 12
VASP calculation (PBE) on a relaxed BaSm3Fe crystal.

Cell and atoms, written as CIF:
```
data_BaSm3Fe
_cell_length_a 5.5341
_cell_length_b 5.5341
_cell_length_c 5.5341
_cell_angle_alpha 90.00
_cell_angle_beta 90.00
_cell_angle_gamma 90.00
_symmetry_space_group_name_H-M 'P m -3 m'
_symmetry_Int_Tables_number 221
_symmetry_space_group_name_Hall '-P 4 2 3'
loop_
_atom_site_label
_atom_site_type_symbol
_atom_site_fract_x
_atom_site_fract_y
_atom_site_fract_z
Ba1 Ba 0.0000 0.0000 0.0000
Sm1 Sm 0.0000 0.5000 0.5000
Fe1 Fe 0.5000 0.5000 0.5000
```

Computed properties:
The size of the total moment comes out at 0.00 μB per atom. The value obtained for the total DFT energy (no corrections) is -23.72 eV/cell.

---

# 13
VASP calculation (PBE) on a relaxed BaFe2Sn crystal.

Cell and atoms, written as CIF:
```
data_BaFe2Sn
_cell_length_a 4.8973
_cell_length_b 4.8973
_cell_length_c 18.3523
_cell_angle_alpha 90.00
_cell_angle_beta 90.00
_cell_angle_gamma 90.00
_symmetry_space_group_name_H-M 'I 41/a m d'
_symmetry_Int_Tables_number 141
loop_
_symmetry_equiv_pos_as_xyz
'x,y,z'
'-x,-y,-z'
'-y+1/4,x+3/4,z+1/4'
'y+1/4,-x+3/4,-z+1/4'
'-x+1/2,-y,z+1/2'
'x+1/2,y,-z+1/2'
'y+1/4,-x+1/4,z+3/4'
'-y+1/4,x+1/4,-z+3/4'
'x,-y,-z'
'-x,y,z'
'-y+1/4,-x+1/4,-z+3/4'
'y+1/4,x+1/4,z+3/4'
'-x+1/2,y,-z+1/2'
'x+1/2,-y,z+1/2'
'y+1/4,x+3/4,-z+1/4'
'-y+1/4,-x+3/4,z+1/4'
'x+1/2,y+1/2,z+1/2'
'-x+1/2,-y+1/2,-z+1/2'
'-y+3/4,x+1/4,z+3/4'
'y+3/4,-x+1/4,-z+3/4'
'-x,-y+1/2,z'
'x,y+1/2,-z'
'y+3/4,-x+3/4,z+1/4'
'-y+3/4,x+3/4,-z+1/4'
'x+1/2,-y+1/2,-z+1/2'
'-x+1/2,y+1/2,z+1/2'
'-y+3/4,-x+3/4,-z+1/4'
'y+3/4,x+3/4,z+1/4'
'-x,y+1/2,-z'
'x,-y+1/2,z'
'y+3/4,x+1/4,-z+3/4'
'-y+3/4,-x+1/4,z+3/4'
loop_
_atom_site_label
_atom_site_type_symbol
_atom_site_fract_x
_atom_site_fract_y
_atom_site_fract_z
Ba1 Ba 0.0000 0.2500 0.3750
Fe1 Fe 0.0000 0.0000 0.0000
Sn1 Sn 0.0000 0.2500 0.8750
```

Computed properties:
The size of the total moment comes out at 1.30 μB per atom. The value obtained for the total DFT energy (no corrections) is -85.07 eV/cell.